First-principles (PBE-GGA) data for MnP2SBr after structural relaxation, as listed in Alexandria via LeMat-Bulk.

Values from the calculation:
mass density: 3.53 g/cm³
volume: 21.51 Å³/atom
symmetry: P4/mmm
raw formation energy: 1.94 eV per atom
relative energy among the computed polymorphs: 1.514 eV per atom

abc: 4.807 4.807 4.654
angles: 90.00 90.00 90.00
Fractional positions:
Mn 0.000 0.000 0.000
P 0.000 0.500 0.500
P 0.500 0.000 0.500
S 0.500 0.500 0.000
Br 0.500 0.500 0.500

First-principles (PBE-GGA) data for SrAl2Ag after structural relaxation, as listed in Alexandria via LeMat-Bulk.

Values from the calculation:
mass density: 4.43 g/cm³
volume: 23.38 Å³/atom
symmetry: Pm
ΔE_f: -0.05 eV/atom

abc: 3.257 4.335 6.819
angles: 90.00 103.72 90.00
Fractional positions:
Sr 0.000 0.000 0.000
Al 0.254 0.000 0.496
Al 0.365 0.500 0.729
Ag 0.692 0.500 0.375

First-principles (PBE-GGA) data for BaZnP2O after structural relaxation, as listed in Alexandria via LeMat-Bulk.

Values from the calculation:
mass density: 4.45 g/cm³
volume: 20.93 Å³/atom
symmetry: P4/mmm
raw formation energy: -0.20 eV per atom
relative energy among the computed polymorphs: 0.000 eV per atom

abc: 4.618 4.618 4.908
angles: 90.00 90.00 90.00
Fractional positions:
Ba 0.000 0.000 0.000
Zn 0.500 0.500 0.500
P 0.000 0.500 0.500
P 0.500 0.000 0.500
O 0.500 0.500 0.000

First-principles (PBE-GGA) data for NaDy3Y2Se6 after structural relaxation, as listed in Alexandria via LeMat-Bulk.

Values from the calculation:
mass density: 6.61 g/cm³
volume: 24.32 Å³/atom
symmetry: C2/m
raw formation energy: -1.75 eV per atom

abc: 9.166 9.166 8.227
angles: 103.02 103.02 25.72
Fractional positions:
Na 0.000 0.000 0.000
Dy 0.000 0.000 0.500
Dy 0.335 0.335 0.174
Dy 0.665 0.665 0.826
Y 0.331 0.331 0.658
Y 0.669 0.669 0.342
Se 0.165 0.165 0.585
Se 0.168 0.168 0.082
Se 0.499 0.499 0.747
Se 0.501 0.501 0.253
Se 0.832 0.832 0.918
Se 0.835 0.835 0.415

First-principles (PBE-GGA) data for TlAg5Br8 after structural relaxation, as listed in Alexandria via LeMat-Bulk.

Values from the calculation:
mass density: 5.19 g/cm³
volume: 31.60 Å³/atom
symmetry: I-4
raw formation energy: -0.34 eV per atom
relative energy among the computed polymorphs: 0.008 eV per atom

abc: 8.468 8.468 8.468
angles: 102.46 102.46 124.63
Fractional positions:
Tl 0.000 0.000 0.000
Ag 0.161 0.623 0.983
Ag 0.377 0.360 0.538
Ag 0.640 0.178 0.017
Ag 0.750 0.250 0.500
Ag 0.822 0.839 0.462
Br 0.054 0.420 0.184
Br 0.088 0.294 0.684
Br 0.130 0.946 0.366
Br 0.235 0.870 0.816
Br 0.580 0.765 0.634
Br 0.596 0.912 0.205
Br 0.609 0.404 0.316
Br 0.706 0.391 0.795

First-principles (PBE-GGA) data for NdDy2Sc2 after structural relaxation, as listed in Alexandria via LeMat-Bulk.

Values from the calculation:
mass density: 5.54 g/cm³
volume: 33.54 Å³/atom
symmetry: Fddd
ΔE_f: 0.54 eV/atom
relative energy among the computed polymorphs: 0.409 eV per atom

abc: 12.030 11.047 6.224
angles: 83.29 65.79 30.92
Fractional positions:
Nd 0.125 0.125 0.125
Nd 0.875 0.875 0.875
Dy 0.209 0.541 0.209
Dy 0.459 0.791 0.459
Dy 0.541 0.209 0.541
Dy 0.791 0.459 0.791
Sc 0.000 0.000 0.000
Sc 0.000 0.000 0.500
Sc 0.000 0.500 0.000
Sc 0.500 0.000 0.000

First-principles (PBE-GGA) data for Tb5Er2TmSc after structural relaxation, as listed in Alexandria via LeMat-Bulk.

Values from the calculation:
mass density: 7.89 g/cm³
volume: 31.42 Å³/atom
symmetry: Cmc2_1
ΔE_f: 0.16 eV/atom

abc: 10.343 10.343 10.327
angles: 90.00 90.00 149.21
Fractional positions:
Tb 0.016 0.984 0.500
Tb 0.125 0.875 0.779
Tb 0.200 0.800 0.464
Tb 0.225 0.775 0.079
Tb 0.484 0.516 0.773
Tb 0.516 0.484 0.273
Tb 0.775 0.225 0.579
Tb 0.800 0.200 0.964
Tb 0.875 0.125 0.279
Tb 0.984 0.016 0.000
Er 0.386 0.614 0.497
Er 0.389 0.611 0.067
Er 0.611 0.389 0.567
Er 0.614 0.386 0.997
Tm 0.093 0.907 0.218
Tm 0.907 0.093 0.718
Sc 0.306 0.694 0.774
Sc 0.694 0.306 0.274

First-principles (PBE-GGA) data for Tb2Y2Al after structural relaxation, as listed in Alexandria via LeMat-Bulk.

Values from the calculation:
mass density: 5.55 g/cm³
volume: 31.26 Å³/atom
symmetry: I4_1/amd
ΔE_f: -0.01 eV/atom

abc: 12.738 12.738 12.738
angles: 157.10 157.10 32.60
Fractional positions:
Tb 0.056 0.306 0.750
Tb 0.306 0.056 0.250
Tb 0.694 0.944 0.750
Tb 0.944 0.694 0.250
Y 0.200 0.450 0.750
Y 0.450 0.200 0.250
Y 0.550 0.800 0.750
Y 0.800 0.550 0.250
Al 0.375 0.625 0.750
Al 0.625 0.375 0.250